SiGeB2S, optimized geometry, DFT GGA-PBE; total energy = -4.15 eV/atom; E_form (uncorrected) = 1.36 eV/atom; mass density = 3.71 g/cm3
1.0
3.8366 0.0000 0.0000
0.0000 3.8366 0.0000
0.0000 0.0000 4.6972
Si Ge B S
1 1 2 1
Direct
0.0000 0.0000 0.0000
0.5000 0.5000 0.0000
0.0000 0.5000 0.5000
0.5000 0.0000 0.5000
0.0000 0.0000 0.5000